# 1
## DyMgGaCo (GGA-PBE)

Data for a relaxed DyMgGaCo crystal.

Output
The theoretical density is 7060 kg/m³. Its density of states at the Fermi level is 0.48 states/eV per atom. The calculation puts the energy relative to the elements at -181 meV per atom. The total magnetic moment is 1.07 μB per formula unit.

Cell lengths 4.717, 4.717, 4.717 Å; angles 60.00, 60.00, 60.00 degrees
Atoms (fractional coordinates):
Dy (0.000, 0.000, 0.000)
Mg (0.500, 0.500, 0.500)
Ga (0.250, 0.250, 0.250)
Co (0.750, 0.750, 0.750)


# 2
## Dy2MnGa5Co2 (GGA-PBE)

Data for a relaxed Dy2MnGa5Co2 crystal.

Output
The theoretical density is 8338 kg/m³. Its density of states at the Fermi level is 0.62 states/eV per atom. The calculation puts the energy relative to the elements at -374 meV per atom. The total magnetic moment is 4.32 μB per formula unit.

Cell lengths 9.208, 9.208, 3.976 Å; angles 90.00, 90.00, 90.00 degrees
Atoms (fractional coordinates):
Dy (0.181, 0.319, 0.000)
Dy (0.319, 0.819, 0.000)
Dy (0.681, 0.181, 0.000)
Dy (0.819, 0.681, 0.000)
Mn (0.000, 0.000, 0.000)
Mn (0.500, 0.500, 0.000)
Ga (0.000, 0.500, 0.500)
Ga (0.062, 0.791, 0.500)
Ga (0.209, 0.062, 0.500)
Ga (0.291, 0.562, 0.500)
Ga (0.438, 0.291, 0.500)
Ga (0.500, 0.000, 0.500)
Ga (0.562, 0.709, 0.500)
Ga (0.709, 0.438, 0.500)
Ga (0.791, 0.938, 0.500)
Ga (0.938, 0.209, 0.500)
Co (0.114, 0.614, 0.000)
Co (0.386, 0.114, 0.000)
Co (0.614, 0.886, 0.000)
Co (0.886, 0.386, 0.000)